VASP calculation (PBE) on an optimized crystal structure of NbIr2Rh2.

Spin magnetization in μB/atom: 0.000
Calculated total energy in eV/atom: -7.88
Offset from the most stable computed form in eV/atom: 0.6345
Space group: I4/mmm (139)
DOS at the Fermi energy in states/eV/cell: 7.506
ΔE_f in eV per atom: 0.615

Cell: 4.7864 4.7864 5.1054 Å, 117.95 117.95 90.00°
Closest atoms and distances in Å follow each position.
Fractional coordinates of all 5 atoms:
Ir 0.7500 0.2500 0.5000  4 Rh 2.50
Ir 0.2500 0.7500 0.5000  4 Rh 2.50
Rh 0.6541 0.6541 0.3081  1 Rh 2.36, 4 Ir 2.50
Rh 0.3459 0.3459 0.6919  1 Rh 2.36, 4 Ir 2.50
Nb 0.0000 0.0000 0.0000  2 Rh 2.64